# 1
DFT (GGA-PBE) results for a relaxed HfMn2Mo crystal.

crystal system	tetragonal
volume	14.45	Å³ per atom
ΔH_f (0 K)	-0.32	eV per formula unit
distance to the lowest polymorph of the same formula	0.0001	eV per atom

Cell and atoms, written as CIF:
```
data_HfMn2Mo
_chemical_formula_sum 'Hf1 Mn2 Mo1'
_cell_length_a 3.0557
_cell_length_b 3.0557
_cell_length_c 6.1908
_cell_angle_alpha 90.00
_cell_angle_beta 90.00
_cell_angle_gamma 90.00
_symmetry_space_group_name_H-M 'P 4/m m m'
_symmetry_Int_Tables_number 123
_symmetry_space_group_name_Hall '-P 4 2'
loop_
_atom_site_label
_atom_site_fract_x
_atom_site_fract_y
_atom_site_fract_z
Hf1 0.0000 0.0000 0.0000
Mn1 0.5000 0.5000 0.2671
Mo1 0.0000 0.0000 0.5000
```

---

# 2
DFT (GGA-PBE) results for a relaxed Er7Cd2Sb2 crystal.

crystal system	orthorhombic
raw formation energy	-251	kJ/mol of formula units
volume	30.35	Å³ per atom

Cell and atoms, written as CIF:
```
data_Er7Cd2Sb2
_chemical_formula_sum 'Er14 Cd4 Sb4'
_cell_length_a 8.2069
_cell_length_b 10.8501
_cell_length_c 7.4996
_cell_angle_alpha 90.00
_cell_angle_beta 90.00
_cell_angle_gamma 90.00
_symmetry_space_group_name_H-M 'C m m m'
_symmetry_Int_Tables_number 65
_symmetry_space_group_name_Hall '-C 2 2'
loop_
_atom_site_label
_atom_site_fract_x
_atom_site_fract_y
_atom_site_fract_z
Er1 0.0000 0.0000 0.0000
Er2 0.0000 0.5000 0.2730
Er3 0.2500 0.2500 0.2817
Cd1 0.1731 0.0000 0.5000
Sb1 0.0000 0.2862 0.0000
```

---

# 3
DFT (GGA-PBE) results for a relaxed DyTmZr2P4 crystal.

crystal system	monoclinic
volume	20.18	Å³ per atom
ΔH_f (0 K)	-11.84	eV per formula unit

Cell and atoms, written as CIF:
```
data_DyTmZr2P4
_chemical_formula_sum 'Dy1 Tm1 Zr2 P4'
_cell_length_a 6.6419
_cell_length_b 3.8311
_cell_length_c 6.7224
_cell_angle_alpha 90.00
_cell_angle_beta 109.28
_cell_angle_gamma 90.00
_symmetry_space_group_name_H-M 'P 1 2/m 1'
_symmetry_Int_Tables_number 10
loop_
_symmetry_equiv_pos_as_xyz
'x,y,z'
'-x,-y,-z'
'-x,y,-z'
'x,-y,z'
loop_
_atom_site_label
_atom_site_fract_x
_atom_site_fract_y
_atom_site_fract_z
Dy1 0.0000 0.0000 0.0000
Tm1 0.5000 0.5000 0.0000
Zr1 0.0000 0.5000 0.5000
Zr2 0.5000 0.0000 0.5000
P1 0.2479 0.0000 0.7387
P2 0.2559 0.5000 0.2626
```

---

# 4
DFT (GGA-PBE) results for a relaxed KPRh2 crystal.

crystal system	orthorhombic
volume	19.63	Å³ per atom
ΔH_f (0 K)	-0.44	eV per formula unit

Cell and atoms, written as CIF:
```
data_KPRh2
_chemical_formula_sum 'K2 P2 Rh4'
_cell_length_a 3.0263
_cell_length_b 3.2118
_cell_length_c 16.1582
_cell_angle_alpha 90.00
_cell_angle_beta 90.00
_cell_angle_gamma 90.00
_symmetry_space_group_name_H-M 'I m m 2'
_symmetry_Int_Tables_number 44
loop_
_symmetry_equiv_pos_as_xyz
'x,y,z'
'-x,-y,z'
'-x,y,z'
'x,-y,z'
'x+1/2,y+1/2,z+1/2'
'-x+1/2,-y+1/2,z+1/2'
'-x+1/2,y+1/2,z+1/2'
'x+1/2,-y+1/2,z+1/2'
loop_
_atom_site_label
_atom_site_fract_x
_atom_site_fract_y
_atom_site_fract_z
K1 0.0000 0.0000 0.0000
P1 0.0000 0.5000 0.2421
Rh1 0.0000 0.0000 0.3391
Rh2 0.0000 0.5000 0.6844
```

---

# 5
DFT (GGA-PBE) results for a relaxed Cs2AcTl2Se4 crystal.

crystal system	monoclinic
raw formation energy	-957	kJ/mol of formula units
volume	37.95	Å³ per atom

Cell and atoms, written as CIF:
```
data_Cs2AcTl2Se4
_chemical_formula_sum 'Cs4 Ac2 Tl4 Se8'
_cell_length_a 18.7695
_cell_length_b 4.3893
_cell_length_c 9.2490
_cell_angle_alpha 90.00
_cell_angle_beta 116.30
_cell_angle_gamma 90.00
_symmetry_space_group_name_H-M 'C 1 2/m 1'
_symmetry_Int_Tables_number 12
loop_
_symmetry_equiv_pos_as_xyz
'x,y,z'
'-x,-y,-z'
'-x,y,-z'
'x,-y,z'
'x+1/2,y+1/2,z'
'-x+1/2,-y+1/2,-z'
'-x+1/2,y+1/2,-z'
'x+1/2,-y+1/2,z'
loop_
_atom_site_label
_atom_site_fract_x
_atom_site_fract_y
_atom_site_fract_z
Cs1 0.1252 0.0000 0.0589
Ac1 0.0000 0.0000 0.5000
Tl1 0.1915 0.5000 0.5350
Se1 0.0303 0.5000 0.2895
Se2 0.1808 0.0000 0.7348
```

---

# 6
DFT (GGA-PBE) results for a relaxed Cu2TcNi crystal.

crystal system	cubic
volume	12.46	Å³ per atom
ΔH_f (0 K)	1.39	eV per formula unit
distance to the lowest polymorph of the same formula	0.2971	eV per atom

Cell and atoms, written as CIF:
```
data_Cu2TcNi
_chemical_formula_sum 'Cu8 Tc4 Ni4'
_cell_length_a 5.8416
_cell_length_b 5.8416
_cell_length_c 5.8416
_cell_angle_alpha 90.00
_cell_angle_beta 90.00
_cell_angle_gamma 90.00
_symmetry_space_group_name_H-M 'F m -3 m'
_symmetry_Int_Tables_number 225
_symmetry_space_group_name_Hall '-F 4 2 3'
loop_
_atom_site_label
_atom_site_fract_x
_atom_site_fract_y
_atom_site_fract_z
Cu1 0.2500 0.2500 0.2500
Tc1 0.0000 0.0000 0.0000
Ni1 0.0000 0.0000 0.5000
```

---

# 7
DFT (GGA-PBE) results for a relaxed CaPmTmCd crystal.

crystal system	cubic
volume	30.32	Å³ per atom
ΔH_f (0 K)	0.22	eV per formula unit

Cell and atoms, written as CIF:
```
data_CaPmTmCd
_chemical_formula_sum 'Ca4 Pm4 Tm4 Cd4'
_cell_length_a 7.8574
_cell_length_b 7.8574
_cell_length_c 7.8574
_cell_angle_alpha 90.00
_cell_angle_beta 90.00
_cell_angle_gamma 90.00
_symmetry_space_group_name_H-M 'F -4 3 m'
_symmetry_Int_Tables_number 216
_symmetry_space_group_name_Hall 'F -4 2 3'
loop_
_atom_site_label
_atom_site_fract_x
_atom_site_fract_y
_atom_site_fract_z
Ca1 0.0000 0.0000 0.0000
Pm1 0.2500 0.2500 0.2500
Tm1 0.0000 0.0000 0.5000
Cd1 0.2500 0.2500 0.7500
```

---

# 8
DFT (GGA-PBE) results for a relaxed SrMg2ZnCd crystal.

crystal system	tetragonal
volume	27.58	Å³ per atom
ΔH_f (0 K)	-0.05	eV per formula unit

Cell and atoms, written as CIF:
```
data_SrMg2ZnCd
_chemical_formula_sum 'Sr1 Mg2 Zn1 Cd1'
_cell_length_a 5.1505
_cell_length_b 5.1505
_cell_length_c 5.1977
_cell_angle_alpha 90.00
_cell_angle_beta 90.00
_cell_angle_gamma 90.00
_symmetry_space_group_name_H-M 'P 4/m m m'
_symmetry_Int_Tables_number 123
_symmetry_space_group_name_Hall '-P 4 2'
loop_
_atom_site_label
_atom_site_fract_x
_atom_site_fract_y
_atom_site_fract_z
Sr1 0.0000 0.0000 0.0000
Mg1 0.0000 0.5000 0.5000
Zn1 0.5000 0.5000 0.5000
Cd1 0.5000 0.5000 0.0000
```

---

Raw total energy (computed, eV for the cell shown): -39.4 -89.2 -59.7 -43.3 -68.8 -91.8 -47.7 -7.1